(1)
# Sb2TePBr GGA-PBE optimized geometry
# Relative energy among the computed polymorphs ... 0.0000 eV/atom
data_Sb2TePBr
_cell_length_a 5.2957
_cell_length_b 5.2957
_cell_length_c 5.2950
_cell_angle_alpha 90.00
_cell_angle_beta 90.00
_cell_angle_gamma 90.00
_symmetry_space_group_name_H-M 'P 4/m m m'
_symmetry_Int_Tables_number 123
_symmetry_space_group_name_Hall '-P 4 2'
loop_
_atom_site_label
_atom_site_fract_x
_atom_site_fract_y
_atom_site_fract_z
Sb1 0.0000 0.5000 0.0000
Te1 0.0000 0.0000 0.5000
P1 0.0000 0.0000 0.0000
Br1 0.5000 0.5000 0.5000

---

(2)
# Sb2TePBr GGA-PBE optimized geometry
# Relative energy among the computed polymorphs ... 0.8709 eV/atom
data_Sb2TePBr
_cell_length_a 5.4680
_cell_length_b 5.4680
_cell_length_c 5.6024
_cell_angle_alpha 90.00
_cell_angle_beta 90.00
_cell_angle_gamma 90.00
_symmetry_space_group_name_H-M 'P 4/m m m'
_symmetry_Int_Tables_number 123
_symmetry_space_group_name_Hall '-P 4 2'
loop_
_atom_site_label
_atom_site_fract_x
_atom_site_fract_y
_atom_site_fract_z
Sb1 0.0000 0.5000 0.0000
Te1 0.0000 0.0000 0.5000
P1 0.5000 0.5000 0.5000
Br1 0.0000 0.0000 0.0000

---

(3)
## TiSb2PBr (GGA-PBE)

Data for a geometry-optimized TiSb2PBr structure.

Cell and atoms, written as CIF:
```
data_TiSb2PBr
_cell_length_a 5.2974
_cell_length_b 5.2974
_cell_length_c 4.6635
_cell_angle_alpha 90.00
_cell_angle_beta 90.00
_cell_angle_gamma 90.00
_symmetry_space_group_name_H-M 'P 4/m m m'
_symmetry_Int_Tables_number 123
_symmetry_space_group_name_Hall '-P 4 2'
loop_
_atom_site_label
_atom_site_fract_x
_atom_site_fract_y
_atom_site_fract_z
Ti1 0.0000 0.0000 0.0000
Sb1 0.0000 0.5000 0.0000
P1 0.0000 0.0000 0.5000
Br1 0.5000 0.5000 0.5000
```

---

(4)
## TlSbPBr2 (GGA-PBE)

Data for a geometry-optimized TlSbPBr2 structure.

Cell and atoms, written as CIF:
```
data_TlSbPBr2
_cell_length_a 5.4968
_cell_length_b 5.4968
_cell_length_c 5.3230
_cell_angle_alpha 90.00
_cell_angle_beta 90.00
_cell_angle_gamma 90.00
_symmetry_space_group_name_H-M 'P 4/m m m'
_symmetry_Int_Tables_number 123
_symmetry_space_group_name_Hall '-P 4 2'
loop_
_atom_site_label
_atom_site_fract_x
_atom_site_fract_y
_atom_site_fract_z
Tl1 0.0000 0.0000 0.0000
Sb1 0.5000 0.5000 0.5000
P1 0.0000 0.0000 0.5000
Br1 0.0000 0.5000 0.0000
```

---

(5)
## SbPWBr2 (GGA-PBE)

Data for a geometry-optimized SbPWBr2 structure.

Cell and atoms, written as CIF:
```
data_SbPWBr2
_cell_length_a 5.4177
_cell_length_b 5.4177
_cell_length_c 5.3687
_cell_angle_alpha 90.00
_cell_angle_beta 90.00
_cell_angle_gamma 90.00
_symmetry_space_group_name_H-M 'P 4/m m m'
_symmetry_Int_Tables_number 123
_symmetry_space_group_name_Hall '-P 4 2'
loop_
_atom_site_label
_atom_site_fract_x
_atom_site_fract_y
_atom_site_fract_z
Sb1 0.0000 0.0000 0.0000
P1 0.0000 0.0000 0.5000
W1 0.5000 0.5000 0.5000
Br1 0.0000 0.5000 0.0000
```

---

(6)
## ScPBr4 (GGA-PBE)

Data for a geometry-optimized ScPBr4 structure.

Cell and atoms, written as CIF:
```
data_ScPBr4
_cell_length_a 8.6234
_cell_length_b 8.6234
_cell_length_c 8.6234
_cell_angle_alpha 90.00
_cell_angle_beta 90.00
_cell_angle_gamma 90.00
_symmetry_space_group_name_H-M 'F -4 3 m'
_symmetry_Int_Tables_number 216
_symmetry_space_group_name_Hall 'F -4 2 3'
loop_
_atom_site_label
_atom_site_fract_x
_atom_site_fract_y
_atom_site_fract_z
Sc1 0.0000 0.0000 0.0000
P1 0.2500 0.2500 0.2500
Br1 0.1253 0.1253 0.6253
```

---

Number 1: total DFT energy (no corrections) -3.207 eV per atom, ΔE_f (raw) 0.487 eV per atom. Number 2: total DFT energy (no corrections) -2.336 eV per atom, ΔE_f (raw) 1.358 eV per atom. Number 3: total DFT energy (no corrections) -4.623 eV per atom, ΔE_f (raw) 0.021 eV per atom. Number 4: total DFT energy (no corrections) -2.439 eV per atom, ΔE_f (raw) 0.609 eV per atom. Number 5: total DFT energy (no corrections) -3.652 eV per atom, ΔE_f (raw) 1.514 eV per atom. Number 6: total DFT energy (no corrections) -2.416 eV per atom, ΔE_f (raw) 0.656 eV per atom.